6
Lattice="6.302 0.000 0.000 0.000 6.152 0.000 0.000 -3.076 9.445" Properties=species:S:1:pos:R:3 comment="GGA-PBE Rb5Bi, relaxed" formation_enthalpy_0k_ev_per_atom=-0.133 dos_at_fermi_per_ev_atom=0.4487 space_group="Cmmm, No. 65" pbc="T T T"
Bi 0.000 0.000 0.000
Rb 3.151 3.076 6.778
Rb 0.000 3.076 2.579
Rb 3.151 3.076 0.000
Rb 0.000 0.000 6.866
Rb 3.151 0.000 2.666


5
Lattice="5.041 0.000 0.000 0.000 5.041 0.000 0.000 0.000 5.041" Properties=species:S:1:pos:R:3 comment="GGA-PBE ScAl3V, relaxed" formation_enthalpy_0k_ev_per_atom=1.267 dos_at_fermi_per_ev_atom=1.2800 space_group="Pm-3m, No. 221" de_polymorph_mev_per_atom=1344 pbc="T T T"
Sc 0.000 0.000 0.000
Al 0.000 2.520 0.000
Al 0.000 0.000 2.520
Al 2.520 0.000 0.000
V 2.520 2.520 2.520


6
Lattice="-3.205 1.691 -1.437 -4.997 -3.952 1.208 -2.602 1.806 7.932" Properties=species:S:1:pos:R:3 comment="GGA-PBE La5Rh, relaxed" formation_enthalpy_0k_ev_per_atom=-0.234 dos_at_fermi_per_ev_atom=1.1814 space_group="Cm, No. 8" de_polymorph_mev_per_atom=0 pbc="T T T"
La -6.283 2.786 6.719
La -7.797 -0.451 6.287
La -4.514 0.078 4.874
La -4.435 2.308 2.034
La -5.948 -0.929 1.598
Rh -3.210 -0.813 0.916


20
Lattice="-1.420 2.911 -0.658 -6.810 -2.008 5.810 4.717 3.853 6.861" Properties=species:S:1:pos:R:3 comment="GGA-PBE Hf2AlFe5Ge2, relaxed" formation_enthalpy_0k_ev_per_atom=-0.231 dos_at_fermi_per_ev_atom=0.8266 space_group="P4/mbm, No. 127" pbc="T T T"
Hf -3.766 -0.686 5.089
Hf 1.673 2.531 7.581
Hf 0.371 0.916 3.249
Hf -2.465 0.929 9.422
Al 0.000 0.000 0.000
Al -1.047 0.922 6.335
Fe -1.797 1.288 1.274
Fe -1.717 3.468 10.739
Fe 2.629 4.404 5.503
Fe -3.429 1.732 6.757
Fe -6.142 0.352 6.510
Fe -0.084 3.024 5.255
Fe -1.224 3.034 7.757
Fe -2.289 1.722 4.256
Fe -4.115 0.451 2.576
Fe 1.648 3.382 3.101
Ge 2.095 2.158 5.023
Ge -4.189 -0.314 7.648
Ge -0.137 2.112 9.634
Ge -1.956 -0.267 3.037